Rb2MnTcO6: optimized geometry, PBE+U.

extended XYZ file:
```
10
Lattice="6.248 0.000 0.000 -3.124 5.411 0.000 0.000 0.000 5.003" Properties=species:S:1:pos:R:3 pbc="T T T"
Rb 0.000 3.607 1.135
Rb 3.124 1.804 3.868
Mn 0.000 0.000 0.000
Tc 0.000 0.000 2.502
O 0.000 1.493 3.745
O -1.831 4.664 3.745
O 1.293 0.747 1.258
O 1.831 4.664 3.745
O 4.954 0.747 1.258
O 3.124 3.917 1.258
```

- N(E_F): 3.6 states/eV/cell
- SG: P-3m1
- Electronic total energy: -6.3625 eV per atom